# 1
# Pm2SiNi2 | the Alexandria database | PBE-GGA | optimized geometry
# Total magnetization in μB per formula unit: 0.000
# DFT total energy in eV/atom: -5.869
# ρ in g/cm³: 7.56
# Uncorrected formation energy in eV/atom: -0.571
data_Pm2SiNi2
_chemical_formula_sum 'Pm4 Si2 Ni4'
_cell_length_a 4.047
_cell_length_b 5.309
_cell_length_c 8.900
_cell_angle_alpha 90.00
_cell_angle_beta 90.00
_cell_angle_gamma 90.00
_symmetry_space_group_name_H-M 'I m m m'
_symmetry_Int_Tables_number 71
_symmetry_space_group_name_Hall '-I 2 2'
loop_
_atom_site_label
_atom_site_fract_x
_atom_site_fract_y
_atom_site_fract_z
Pm1 0.000 0.000 0.192
Si1 0.000 0.500 0.000
Ni1 0.000 0.247 0.500



# 2
# Pm2Si4Ni3 | the Alexandria database | PBE-GGA | optimized geometry
# Total magnetization in μB per formula unit: 0.000
# DFT total energy in eV/atom: -6.043
# ρ in g/cm³: 6.76
# Uncorrected formation energy in eV/atom: -0.650
data_Pm2Si4Ni3
_chemical_formula_sum 'Pm8 Si16 Ni12'
_cell_length_a 5.428
_cell_length_b 14.548
_cell_length_c 7.196
_cell_angle_alpha 90.00
_cell_angle_beta 90.00
_cell_angle_gamma 90.00
_symmetry_space_group_name_H-M 'C m c e'
_symmetry_Int_Tables_number 64
_symmetry_space_group_name_Hall '-C 2ac 2'
loop_
_atom_site_label
_atom_site_fract_x
_atom_site_fract_y
_atom_site_fract_z
Pm1 0.000 0.108 0.099
Si1 0.000 0.183 0.489
Si2 0.250 0.065 0.750
Ni1 0.000 0.000 0.500
Ni2 0.250 0.226 0.750



# 3
# PmSi12Ni4 | the Alexandria database | PBE-GGA | optimized geometry
# Total magnetization in μB per formula unit: 0.000
# DFT total energy in eV/atom: -5.702
# ρ in g/cm³: 4.54
# Uncorrected formation energy in eV/atom: -0.234
data_PmSi12Ni4
_chemical_formula_sum 'Pm2 Si24 Ni8'
_cell_length_a 8.066
_cell_length_b 8.066
_cell_length_c 8.066
_cell_angle_alpha 90.00
_cell_angle_beta 90.00
_cell_angle_gamma 90.00
_symmetry_space_group_name_H-M 'I m -3'
_symmetry_Int_Tables_number 204
_symmetry_space_group_name_Hall '-I 2 2 3'
loop_
_atom_site_label
_atom_site_fract_x
_atom_site_fract_y
_atom_site_fract_z
Pm1 0.000 0.000 0.000
Si1 0.000 0.162 0.352
Ni1 0.250 0.250 0.250



# 4
# PmSi2Ni4 | the Alexandria database | PBE-GGA | optimized geometry
# E above lowest polymorph in eV/atom: 0.0905
# Total magnetization in μB per formula unit: 0.000
# DFT total energy in eV/atom: -6.051
# ρ in g/cm³: 7.24
# Uncorrected formation energy in eV/atom: -0.519
data_PmSi2Ni4
_chemical_formula_sum 'Pm4 Si8 Ni16'
_cell_length_a 16.291
_cell_length_b 3.969
_cell_length_c 6.183
_cell_angle_alpha 90.00
_cell_angle_beta 90.00
_cell_angle_gamma 90.00
_symmetry_space_group_name_H-M 'P n m a'
_symmetry_Int_Tables_number 62
loop_
_symmetry_equiv_pos_as_xyz
'x,y,z'
'-x,-y,-z'
'-x+1/2,-y,z+1/2'
'x+1/2,y,-z+1/2'
'x+1/2,-y+1/2,-z+1/2'
'-x+1/2,y+1/2,z+1/2'
'-x,y+1/2,-z'
'x,-y+1/2,z'
loop_
_atom_site_label
_atom_site_fract_x
_atom_site_fract_y
_atom_site_fract_z
Pm1 0.140 0.250 0.002
Si1 0.040 0.750 0.736
Si2 0.213 0.250 0.473
Ni1 0.021 0.750 0.140
Ni2 0.068 0.250 0.514
Ni3 0.185 0.750 0.673
Ni4 0.209 0.750 0.280



# 5
# PmSi2Ni5 | the Alexandria database | PBE-GGA | optimized geometry
# Total magnetization in μB per formula unit: 0.000
# DFT total energy in eV/atom: -6.144
# ρ in g/cm³: 7.45
# Uncorrected formation energy in eV/atom: -0.581
data_PmSi2Ni5
_chemical_formula_sum 'Pm2 Si4 Ni10'
_cell_length_a 3.650
_cell_length_b 6.586
_cell_length_c 9.169
_cell_angle_alpha 90.00
_cell_angle_beta 90.00
_cell_angle_gamma 90.00
_symmetry_space_group_name_H-M 'I m m m'
_symmetry_Int_Tables_number 71
_symmetry_space_group_name_Hall '-I 2 2'
loop_
_atom_site_label
_atom_site_fract_x
_atom_site_fract_y
_atom_site_fract_z
Pm1 0.000 0.000 0.000
Si1 0.000 0.500 0.243
Ni1 0.000 0.187 0.350
Ni2 0.000 0.500 0.000



# 6
# Pm4SiNi | the Alexandria database | PBE-GGA | optimized geometry
# Total magnetization in μB per formula unit: 0.000
# DFT total energy in eV/atom: -5.273
# ρ in g/cm³: 6.34
# Uncorrected formation energy in eV/atom: -0.239
data_Pm4SiNi
_chemical_formula_sum 'Pm8 Si2 Ni2'
_cell_length_a 7.146
_cell_length_b 6.917
_cell_length_c 7.064
_cell_angle_alpha 90.00
_cell_angle_beta 90.46
_cell_angle_gamma 90.00
_symmetry_space_group_name_H-M 'P 1 21/c 1'
_symmetry_Int_Tables_number 14
loop_
_symmetry_equiv_pos_as_xyz
'x,y,z'
'-x,-y,-z'
'-x,y+1/2,-z+1/2'
'x,-y+1/2,z+1/2'
loop_
_atom_site_label
_atom_site_fract_x
_atom_site_fract_y
_atom_site_fract_z
Pm1 0.152 0.165 0.168
Pm2 0.329 0.659 0.156
Si1 0.500 0.000 0.000
Ni1 0.000 0.000 0.500